(1)
Entry from the Alexandria database: a relaxed structure of CaAl2Bi (PBE).

Cell and atoms, written as POSCAR:
```
CaAl2Bi
1.0
-4.2340 4.2340 3.0831
4.2340 -4.2340 3.0831
4.2340 4.2340 -3.0831
Ca Al Bi
2 4 2
Cartesian
0.0000 0.0000 0.0000
0.0000 4.2340 1.5415
2.1170 -1.8408 2.3123
2.3933 2.1170 0.7708
2.1170 6.0748 -0.7708
1.8408 2.1170 3.8539
4.2340 0.0000 1.5415
0.0000 0.0000 3.0831
```

Properties
Energy of formation from the pure elements: -0.013 eV per atom

***

(2)
Entry from the Alexandria database: a relaxed structure of Pm3Pr5P8 (PBE).

Cell and atoms, written as POSCAR:
```
Pm3Pr5P8
1.0
4.1772 2.4117 6.8212
-4.1772 2.4117 6.8212
0.0000 -4.8234 6.8212
Pm Pr P
3 5 8
Cartesian
-2.0886 -1.2059 6.8212
-2.0886 1.2058 13.6423
0.0000 2.4117 6.8212
0.0000 0.0000 0.0000
-4.1772 0.0000 10.2318
-2.0886 1.2058 3.4106
2.0886 1.2059 3.4106
0.0000 0.0000 10.2318
0.0000 -2.3980 8.5071
-2.0767 1.1990 8.5071
0.0000 0.0000 5.1441
-2.0767 -1.1990 11.9564
2.0767 1.1990 8.5071
0.0000 0.0000 15.3195
2.0767 -1.1990 11.9564
0.0000 2.3980 11.9564
```

Properties
Energy of formation from the pure elements: -1.533 eV per atom

***

(3)
Entry from the Alexandria database: a relaxed structure of KHgBr2 (PBE).

Cell and atoms, written as POSCAR:
```
KHgBr2
1.0
5.4885 0.0000 0.0000
0.0000 5.4885 0.0000
0.0000 0.0000 3.9379
K Hg Br
1 1 2
Cartesian
0.0000 0.0000 0.0000
2.7443 2.7443 0.0000
0.0000 2.7443 1.9689
2.7443 0.0000 1.9689
```

Properties
Energy relative to the elements, uncorrected: -3.39 eV/f.u.

***

(4)
Entry from the Alexandria database: a relaxed structure of PrNd2In (PBE).

Cell and atoms, written as POSCAR:
```
PrNd2In
1.0
5.0063 0.0000 0.0000
0.0000 5.0063 0.0000
0.0000 0.0000 4.9866
Pr Nd In
1 2 1
Cartesian
0.0000 0.0000 0.0000
0.0000 2.5032 2.4933
2.5032 0.0000 2.4933
2.5032 2.5032 0.0000
```

Properties
Energy of formation from the pure elements: -0.275 eV per atom

***

(5)
Entry from the Alexandria database: a relaxed structure of PmAsSe (PBE).

Cell and atoms, written as POSCAR:
```
PmAsSe
1.0
-1.9976 1.9976 9.0128
1.9976 -1.9976 9.0128
1.9976 1.9976 -9.0128
Pm As Se
2 2 2
Cartesian
0.0000 0.0000 2.5064
0.0000 0.0000 15.5191
1.9976 0.0000 0.0000
0.0000 1.9976 0.0000
0.0000 0.0000 5.6235
0.0000 0.0000 12.4020
```

Properties
Energy relative to the elements, uncorrected: -4.28 eV/f.u.

***

(6)
Entry from the Alexandria database: a relaxed structure of Sc5Tl2Pd2Rh (PBE).

Cell and atoms, written as POSCAR:
```
Sc5Tl2Pd2Rh
1.0
11.2618 0.0000 0.0000
0.0000 11.2618 0.0000
0.0000 0.0000 3.3081
Sc Tl Pd Rh
10 4 4 2
Cartesian
0.0000 5.6309 0.0000
0.7478 2.1145 0.0000
2.1145 10.5140 0.0000
3.5164 4.8831 0.0000
4.8831 7.7454 0.0000
5.6309 0.0000 0.0000
6.3787 3.5164 0.0000
7.7454 6.3787 0.0000
9.1474 0.7478 0.0000
10.5140 9.1474 0.0000
1.9395 7.5704 1.6541
3.6914 1.9395 1.6541
7.5704 9.3224 1.6541
9.3224 3.6914 1.6541
1.5067 4.1242 1.6541
4.1242 9.7551 1.6541
7.1376 1.5067 1.6541
9.7551 7.1376 1.6541
0.0000 0.0000 1.6541
5.6309 5.6309 1.6541
```

Properties
Energy of formation from the pure elements: -0.603 eV per atom

***

(7)
Entry from the Alexandria database: a relaxed structure of KTa4Ni (PBE).

Cell and atoms, written as POSCAR:
```
KTa4Ni
1.0
0.0000 3.9560 3.9560
3.9560 0.0000 3.9560
3.9560 3.9560 0.0000
K Ta Ni
1 4 1
Cartesian
0.0000 0.0000 0.0000
2.9673 2.9673 2.9673
4.9447 4.9447 2.9673
4.9447 2.9673 4.9447
2.9673 4.9447 4.9447
5.9340 5.9340 5.9340
```

Properties
Energy of formation from the pure elements: 1.150 eV per atom

***

(8)
Entry from the Alexandria database: a relaxed structure of Nd3Y2HoTm6 (PBE).

Cell and atoms, written as POSCAR:
```
Nd3Y2HoTm6
1.0
3.0842 -5.3380 0.0000
3.0842 5.3380 0.0000
-2.0497 0.0000 11.5380
Nd Y Ho Tm
3 2 1 6
Cartesian
0.0000 0.0000 0.0000
3.0842 1.7794 0.0000
3.0842 -1.7794 0.0000
2.0594 3.5590 5.7690
2.0594 -3.5590 5.7690
2.0594 0.0000 5.7690
1.0323 1.7754 2.9165
0.0087 0.0000 8.6219
1.0323 -1.7754 2.9165
3.0864 1.7754 8.6214
4.1100 0.0000 2.9161
3.0864 -1.7754 8.6214
```

Properties
Energy of formation from the pure elements: 0.025 eV per atom

***

(9)
Entry from the Alexandria database: a relaxed structure of Pr2Tm6Al (PBE).

Cell and atoms, written as POSCAR:
```
Pr2Tm6Al
1.0
-1.7417 5.0516 7.7681
1.7417 -5.0516 7.7681
1.7417 5.0516 -7.7681
Pr Tm Al
2 6 1
Cartesian
0.0000 0.0000 2.2452
0.0000 0.0000 13.2909
1.7417 -1.6040 5.0105
1.7417 2.3153 0.0000
1.7417 1.6040 5.0105
0.0000 3.4475 2.7576
0.0000 2.7363 7.7681
0.0000 6.6556 2.7576
0.0000 5.0516 0.0000
```

Properties
Energy of formation from the pure elements: 0.024 eV per atom

***

(10)
Entry from the Alexandria database: a relaxed structure of Sr2LiMgH6 (PBE).

Cell and atoms, written as POSCAR:
```
Sr2LiMgH6
1.0
3.9142 -3.9023 0.0000
3.9142 3.9023 0.0000
-3.9030 0.0000 3.9268
Sr Li Mg H
2 1 1 6
Cartesian
3.9142 1.9548 0.0000
3.9142 -1.9548 0.0000
-1.9515 0.0000 1.9634
1.9627 0.0000 1.9634
0.0113 0.0000 1.9599
1.9582 0.0000 0.0083
1.9627 1.9467 1.9634
1.9627 -1.9467 1.9634
1.9672 0.0000 3.9185
3.9141 0.0000 1.9669
```

Properties
E_tot: -3.07 eV per atom

***

(11)
Entry from the Alexandria database: a relaxed structure of SrNbBi2Se (PBE).

Cell and atoms, written as POSCAR:
```
SrNbBi2Se
1.0
5.6501 0.0000 0.0000
0.0000 5.6501 0.0000
0.0000 0.0000 5.0269
Sr Nb Bi Se
1 1 2 1
Cartesian
0.0000 0.0000 0.0000
2.8251 2.8251 2.5134
0.0000 2.8251 2.5134
2.8251 0.0000 2.5134
2.8251 2.8251 0.0000
```

Properties
Energy relative to the elements, uncorrected: -1.36 eV/f.u.

***

(12)
Entry from the Alexandria database: a relaxed structure of Pm4ThTl (PBE).

Cell and atoms, written as POSCAR:
```
Pm4ThTl
1.0
3.6403 0.0000 0.0000
0.0000 3.6403 0.0000
0.0000 0.0000 14.7203
Pm Th Tl
4 1 1
Cartesian
0.0000 0.0000 2.1715
0.0000 0.0000 12.5487
1.8201 1.8201 4.9144
1.8201 1.8201 9.8059
0.0000 0.0000 7.3601
1.8201 1.8201 0.0000
```

Properties
Energy of formation from the pure elements: -0.089 eV per atom

***

Number 1: total magnetization 0.00 μB/cell. Number 2: total magnetization 0.00 μB/cell. Number 3: total magnetization 0.00 μB/cell. Number 4: total magnetization 0.01 μB/cell. Number 5: total magnetization 0.00 μB/cell. Number 6: total magnetization 0.00 μB/cell. Number 7: total magnetization 0.00 μB/cell. Number 8: total magnetization 0.00 μB/cell. Number 9: total magnetization 0.00 μB/cell. Number 10: total magnetization 0.00 μB/cell. Number 11: total magnetization 0.00 μB/cell. Number 12: total magnetization 0.00 μB/cell.